MnNiBr6 | GGA-PBE | relaxed

Results
The calculation puts the uncorrected energy at -3.52 eV/atom. For the volume, the calculation gives 253 Å³/cell.

Cell and atoms, written as POSCAR:
```
MnNiBr6
1.0
3.590 -5.664 0.000
3.590 5.664 0.000
-3.484 0.000 6.232
Mn Ni Br
1 1 6
Cartesian
0.000 0.000 0.000
-1.742 0.000 3.116
2.600 4.006 1.687
1.096 4.006 4.545
2.058 0.000 1.204
1.638 0.000 5.028
2.600 -4.006 1.687
1.096 -4.006 4.545
```